Entry 1:
Here is a geometry-optimized Ac3PmSm3Se8 structure from the Alexandria database. Energies are from PBE.

Space group: R-3m
Uncorrected formation energy in eV/atom: -1.880

a b c (Å): 8.6870 8.6870 8.6870
angles (deg): 58.65 58.65 58.65
With the nearest neighbours (Å) after each atom.
Positions (direct):
Ac 0.0000 0.5000 0.5000  6 Se 3.12
Ac 0.5000 0.0000 0.5000  6 Se 3.12
Ac 0.5000 0.5000 0.0000  6 Se 3.12
Pm 0.5000 0.5000 0.5000  6 Se 3.01
Sm 0.0000 0.0000 0.5000  6 Se 2.96
Sm 0.0000 0.5000 0.0000  6 Se 2.96
Sm 0.5000 0.0000 0.0000  6 Se 2.96
Se 0.2395 0.7477 0.7477  2 Sm 2.96, 1 Pm 3.01, 2 Ac 3.12
Se 0.2435 0.2435 0.2435  3 Sm 2.96, 3 Ac 3.12
Se 0.2523 0.2523 0.7605  2 Sm 2.96, 1 Pm 3.01, 2 Ac 3.12
Se 0.2523 0.7605 0.2523  2 Sm 2.96, 1 Pm 3.01, 2 Ac 3.12
Se 0.7477 0.2395 0.7477  2 Sm 2.96, 1 Pm 3.01, 2 Ac 3.12
Se 0.7477 0.7477 0.2395  2 Sm 2.96, 1 Pm 3.01, 2 Ac 3.12
Se 0.7565 0.7565 0.7565  3 Sm 2.96, 3 Ac 3.12
Se 0.7605 0.2523 0.2523  2 Sm 2.96, 1 Pm 3.01, 2 Ac 3.12

=====

Entry 2:
Here is a geometry-optimized AcPm3Sm2Se6 structure from the Alexandria database. Energies are from PBE.

Space group: C2/m
Uncorrected formation energy in eV/atom: -1.824

a b c (Å): 7.3454 7.3454 7.3394
angles (deg): 99.62 99.62 120.24
With the nearest neighbours (Å) after each atom.
Positions (direct):
Ac 0.0000 0.0000 0.0000  6 Se 3.06-3.08
Pm 0.1619 0.8381 0.5000  6 Se 2.95-3.01
Pm 0.5000 0.5000 0.5000  6 Se 2.93-3.00
Pm 0.8381 0.1619 0.5000  6 Se 2.95-3.01
Sm 0.3325 0.6675 0.0000  6 Se 2.97-2.99
Sm 0.6675 0.3325 0.0000  6 Se 2.97-2.99
Se 0.0857 0.4296 0.2561  3 Pm 2.95-3.01, 2 Sm 2.98-2.99, 1 Ac 3.08
Se 0.2613 0.2613 0.7497  3 Pm 2.93-2.99, 2 Sm 2.97, 1 Ac 3.06
Se 0.4296 0.0857 0.2561  3 Pm 2.95-3.01, 2 Sm 2.98-2.99, 1 Ac 3.08
Se 0.5704 0.9143 0.7439  3 Pm 2.95-3.01, 2 Sm 2.98-2.99, 1 Ac 3.08
Se 0.7387 0.7387 0.2503  3 Pm 2.93-2.99, 2 Sm 2.97, 1 Ac 3.06
Se 0.9143 0.5704 0.7439  3 Pm 2.95-3.01, 2 Sm 2.98-2.99, 1 Ac 3.08

=====

Entry 3:
Here is a geometry-optimized AcPm4Sm3Se8 structure from the Alexandria database. Energies are from PBE.

Space group: R-3m
Uncorrected formation energy in eV/atom: -1.816

a b c (Å): 8.4468 8.4468 8.4468
angles (deg): 60.07 60.07 60.07
With the nearest neighbours (Å) after each atom.
Positions (direct):
Ac 0.0000 0.0000 0.0000  6 Se 3.06
Pm 0.0000 0.0000 0.5000  6 Se 3.00
Pm 0.0000 0.5000 0.0000  6 Se 3.00
Pm 0.5000 0.0000 0.0000  6 Se 3.00
Pm 0.5000 0.5000 0.5000  6 Se 2.92
Sm 0.0000 0.5000 0.5000  6 Se 2.98
Sm 0.5000 0.0000 0.5000  6 Se 2.98
Sm 0.5000 0.5000 0.0000  6 Se 2.98
Se 0.2508 0.2508 0.2508  3 Sm 2.98, 3 Pm 3.00
Se 0.2557 0.2557 0.7426  3 Pm 2.92-3.00, 2 Sm 2.98, 1 Ac 3.06
Se 0.2557 0.7426 0.2557  3 Pm 2.92-3.00, 2 Sm 2.98, 1 Ac 3.06
Se 0.2574 0.7443 0.7443  3 Pm 2.92-3.00, 2 Sm 2.98, 1 Ac 3.06
Se 0.7426 0.2557 0.2557  3 Pm 2.92-3.00, 2 Sm 2.98, 1 Ac 3.06
Se 0.7443 0.2574 0.7443  3 Pm 2.92-3.00, 2 Sm 2.98, 1 Ac 3.06
Se 0.7443 0.7443 0.2574  3 Pm 2.92-3.00, 2 Sm 2.98, 1 Ac 3.06
Se 0.7492 0.7492 0.7492  3 Sm 2.98, 3 Pm 3.00

=====

Entry 4:
Here is a geometry-optimized Ac2PmSmSe4 structure from the Alexandria database. Energies are from PBE.

Space group: P2/m
Uncorrected formation energy in eV/atom: -1.838

a b c (Å): 7.4102 4.2481 7.6643
angles (deg): 90.00 108.61 90.00
With the nearest neighbours (Å) after each atom.
Positions (direct):
Ac 0.0000 0.0000 0.0000  6 Se 3.15
Ac 0.5000 0.5000 0.0000  6 Se 3.14
Pm 0.0000 0.5000 0.5000  6 Se 2.98
Sm 0.5000 0.0000 0.5000  6 Se 2.97
Se 0.2445 0.0000 0.7307  1 Sm 2.97, 2 Pm 2.98, 3 Ac 3.14-3.15
Se 0.2578 0.5000 0.2700  2 Sm 2.97, 1 Pm 2.98, 3 Ac 3.14-3.15
Se 0.7422 0.5000 0.7300  2 Sm 2.97, 1 Pm 2.98, 3 Ac 3.14-3.15
Se 0.7555 0.0000 0.2693  1 Sm 2.97, 2 Pm 2.98, 3 Ac 3.14-3.15

=====

Entry 5:
Here is a geometry-optimized AcPm3Sm4Se8 structure from the Alexandria database. Energies are from PBE.

Space group: R-3m
Uncorrected formation energy in eV/atom: -1.815

a b c (Å): 8.4494 8.4494 8.4494
angles (deg): 59.93 59.93 59.93
With the nearest neighbours (Å) after each atom.
Positions (direct):
Ac 0.0000 0.0000 0.0000  6 Se 3.06
Pm 0.0000 0.5000 0.5000  6 Se 2.99-3.00
Pm 0.5000 0.0000 0.5000  6 Se 2.99-3.00
Pm 0.5000 0.5000 0.0000  6 Se 2.99-3.00
Sm 0.0000 0.0000 0.5000  6 Se 2.98
Sm 0.0000 0.5000 0.0000  6 Se 2.98
Sm 0.5000 0.0000 0.0000  6 Se 2.98
Sm 0.5000 0.5000 0.5000  6 Se 2.91
Se 0.2492 0.2492 0.2492  3 Sm 2.98, 3 Pm 2.99
Se 0.2549 0.7435 0.7435  3 Sm 2.91-2.98, 2 Pm 3.00, 1 Ac 3.06
Se 0.2565 0.2565 0.7451  3 Sm 2.91-2.98, 2 Pm 3.00, 1 Ac 3.06
Se 0.2565 0.7451 0.2565  3 Sm 2.91-2.98, 2 Pm 3.00, 1 Ac 3.06
Se 0.7435 0.2549 0.7435  3 Sm 2.91-2.98, 2 Pm 3.00, 1 Ac 3.06
Se 0.7435 0.7435 0.2549  3 Sm 2.91-2.98, 2 Pm 3.00, 1 Ac 3.06
Se 0.7451 0.2565 0.2565  3 Sm 2.91-2.98, 2 Pm 3.00, 1 Ac 3.06
Se 0.7508 0.7508 0.7508  3 Sm 2.98, 3 Pm 2.99

=====

Entry 6:
Here is a geometry-optimized AcPmSm4Se8 structure from the Alexandria database. Energies are from PBE.

Space group: R3m
Uncorrected formation energy in eV/atom: -1.737

a b c (Å): 8.7052 8.7052 8.7052
angles (deg): 59.93 59.93 59.93
With the nearest neighbours (Å) after each atom.
Positions (direct):
Ac 0.0000 0.0000 0.0000  4 Se 2.95
Pm 0.6229 0.6229 0.6229  6 Se 2.97-2.98
Sm 0.1324 0.6229 0.6229  6 Se 2.95-2.97
Sm 0.2504 0.2504 0.2504  4 Se 2.80
Sm 0.6229 0.1324 0.6229  6 Se 2.95-2.97
Sm 0.6229 0.6229 0.1324  6 Se 2.95-2.97
Se 0.3807 0.3807 0.8564  3 Sm 2.80-2.96, 1 Pm 2.98
Se 0.3807 0.8564 0.3807  3 Sm 2.80-2.96, 1 Pm 2.98
Se 0.3819 0.3819 0.3819  4 Sm 2.80-2.97
Se 0.4148 0.8628 0.8628  1 Ac 2.95, 2 Sm 2.95, 1 Pm 2.97
Se 0.8564 0.3807 0.3807  3 Sm 2.80-2.96, 1 Pm 2.98
Se 0.8617 0.8617 0.8617  1 Ac 2.95, 3 Sm 2.95
Se 0.8628 0.4148 0.8628  1 Ac 2.95, 2 Sm 2.95, 1 Pm 2.97
Se 0.8628 0.8628 0.4148  1 Ac 2.95, 2 Sm 2.95, 1 Pm 2.97